Material: Ac15PrDy4
Method: DFT, PBE
State: optimized geometry

Output
SG: P4/mmm
Formation energy in eV/atom: 0.031
Crystal system: tetragonal

Structure (POSCAR):
```
Ac15PrDy4
1.0
5.507 0.000 0.000
0.000 5.507 0.000
0.000 0.000 27.407
Ac Pr Dy
15 1 4
Direct
0.000 0.000 0.000
0.000 0.000 0.201
0.000 0.000 0.400
0.000 0.000 0.600
0.000 0.000 0.799
0.000 0.500 0.102
0.000 0.500 0.301
0.000 0.500 0.500
0.000 0.500 0.699
0.000 0.500 0.898
0.500 0.000 0.102
0.500 0.000 0.301
0.500 0.000 0.500
0.500 0.000 0.699
0.500 0.000 0.898
0.500 0.500 0.000
0.500 0.500 0.201
0.500 0.500 0.400
0.500 0.500 0.600
0.500 0.500 0.799
```


Material: AcPr3Dy12
Method: DFT, PBE
State: optimized geometry

Output
SG: P4/mmm
Formation energy in eV/atom: 0.031
Crystal system: tetragonal

Structure (POSCAR):
```
AcPr3Dy12
1.0
5.093 0.000 0.000
0.000 5.093 0.000
0.000 0.000 20.375
Ac Pr Dy
1 3 12
Direct
0.000 0.000 0.000
0.000 0.000 0.251
0.000 0.000 0.500
0.000 0.000 0.749
0.000 0.500 0.129
0.000 0.500 0.376
0.000 0.500 0.624
0.000 0.500 0.871
0.500 0.000 0.129
0.500 0.000 0.376
0.500 0.000 0.624
0.500 0.000 0.871
0.500 0.500 0.000
0.500 0.500 0.252
0.500 0.500 0.500
0.500 0.500 0.748
```


Material: Ac2Pr5Dy6
Method: DFT, PBE
State: optimized geometry

Output
SG: Pbam
Formation energy in eV/atom: 0.104
Crystal system: orthorhombic

Structure (POSCAR):
```
Ac2Pr5Dy6
1.0
12.051 0.000 0.000
0.000 20.862 0.000
0.000 0.000 3.688
Ac Pr Dy
4 10 12
Direct
0.168 0.224 0.000
0.332 0.724 0.000
0.668 0.276 0.000
0.832 0.776 0.000
0.000 0.500 0.500
0.091 0.786 0.500
0.202 0.055 0.500
0.298 0.555 0.500
0.409 0.286 0.500
0.500 0.000 0.500
0.591 0.714 0.500
0.702 0.445 0.500
0.798 0.945 0.500
0.909 0.214 0.500
0.063 0.927 0.000
0.069 0.640 0.000
0.185 0.380 0.500
0.315 0.880 0.500
0.431 0.140 0.000
0.437 0.427 0.000
0.563 0.573 0.000
0.569 0.860 0.000
0.685 0.120 0.500
0.815 0.620 0.500
0.931 0.360 0.000
0.937 0.073 0.000
```


Material: Ac4Pr15Dy
Method: DFT, PBE
State: optimized geometry

Output
SG: P4/mmm
Formation energy in eV/atom: 0.021
Crystal system: tetragonal

Structure (POSCAR):
```
Ac4Pr15Dy
1.0
5.326 0.000 0.000
0.000 5.326 0.000
0.000 0.000 26.520
Ac Pr Dy
4 15 1
Direct
0.000 0.000 0.101
0.000 0.000 0.303
0.000 0.000 0.697
0.000 0.000 0.899
0.000 0.500 0.000
0.000 0.500 0.202
0.000 0.500 0.404
0.000 0.500 0.596
0.000 0.500 0.798
0.500 0.000 0.000
0.500 0.000 0.202
0.500 0.000 0.404
0.500 0.000 0.596
0.500 0.000 0.798
0.500 0.500 0.101
0.500 0.500 0.304
0.500 0.500 0.500
0.500 0.500 0.696
0.500 0.500 0.899
0.000 0.000 0.500
```


Material: Ac7Pr3Dy
Method: DFT, PBE
State: optimized geometry

Output
SG: C2/m
Formation energy in eV/atom: 0.259
Crystal system: monoclinic

Structure (POSCAR):
```
Ac7Pr3Dy
1.0
6.169 -5.604 0.000
6.169 5.604 0.000
-0.745 0.000 6.909
Ac Pr Dy
7 3 1
Direct
0.000 0.000 0.000
0.078 0.419 0.260
0.261 0.261 0.772
0.419 0.078 0.260
0.581 0.922 0.740
0.739 0.739 0.228
0.922 0.581 0.740
0.336 0.664 0.000
0.500 0.500 0.500
0.664 0.336 0.000
0.000 0.000 0.500
```


Material: Ac6PrDy3
Method: DFT, PBE
State: optimized geometry

Output
SG: P2_1/m
Formation energy in eV/atom: 0.088
Crystal system: monoclinic

Structure (POSCAR):
```
Ac6PrDy3
1.0
12.731 0.000 0.000
0.000 3.810 0.000
-4.113 0.000 16.533
Ac Pr Dy
12 2 6
Direct
0.108 0.250 0.353
0.111 0.750 0.958
0.163 0.250 0.769
0.344 0.250 0.110
0.365 0.750 0.315
0.372 0.250 0.523
0.628 0.750 0.477
0.635 0.250 0.685
0.656 0.750 0.890
0.837 0.750 0.231
0.889 0.250 0.042
0.892 0.750 0.647
0.128 0.750 0.557
0.872 0.250 0.443
0.112 0.750 0.169
0.386 0.750 0.927
0.391 0.750 0.713
0.609 0.250 0.287
0.614 0.250 0.073
0.888 0.250 0.831
```


Material: AcPr8Dy5
Method: DFT, PBE
State: optimized geometry

Output
SG: P1
Formation energy in eV/atom: 0.177
Crystal system: triclinic

Structure (POSCAR):
```
AcPr8Dy5
1.0
8.724 0.000 0.000
-4.059 7.781 0.000
-1.192 -4.525 7.442
Ac Pr Dy
1 8 5
Direct
0.000 0.000 0.000
0.052 0.274 0.788
0.096 0.719 0.096
0.204 0.267 0.474
0.357 0.788 0.841
0.462 0.063 0.597
0.493 0.287 0.229
0.626 0.731 0.621
0.674 0.974 0.298
0.276 0.543 0.262
0.583 0.525 0.950
0.793 0.269 0.059
0.865 0.489 0.622
0.937 0.775 0.420
```


Material: AcPr5Dy8
Method: DFT, PBE
State: optimized geometry

Output
SG: C2/m
Formation energy in eV/atom: 0.053
Crystal system: monoclinic

Structure (POSCAR):
```
AcPr5Dy8
1.0
8.835 -1.800 0.000
8.835 1.800 0.000
-8.049 0.000 14.995
Ac Pr Dy
1 5 8
Direct
0.000 0.000 0.000
0.145 0.145 0.441
0.218 0.218 0.147
0.500 0.500 0.500
0.782 0.782 0.853
0.855 0.855 0.559
0.080 0.080 0.722
0.284 0.284 0.355
0.352 0.352 0.062
0.420 0.420 0.774
0.580 0.580 0.226
0.648 0.648 0.938
0.716 0.716 0.645
0.920 0.920 0.278
```


Copy entry 4 word for word.
Material: Ac4Pr15Dy
Method: DFT, PBE
State: optimized geometry

Output
SG: P4/mmm
Formation energy in eV/atom: 0.021
Crystal system: tetragonal

Structure (POSCAR):
```
Ac4Pr15Dy
1.0
5.326 0.000 0.000
0.000 5.326 0.000
0.000 0.000 26.520
Ac Pr Dy
4 15 1
Direct
0.000 0.000 0.101
0.000 0.000 0.303
0.000 0.000 0.697
0.000 0.000 0.899
0.000 0.500 0.000
0.000 0.500 0.202
0.000 0.500 0.404
0.000 0.500 0.596
0.000 0.500 0.798
0.500 0.000 0.000
0.500 0.000 0.202
0.500 0.000 0.404
0.500 0.000 0.596
0.500 0.000 0.798
0.500 0.500 0.101
0.500 0.500 0.304
0.500 0.500 0.500
0.500 0.500 0.696
0.500 0.500 0.899
0.000 0.000 0.500
```